[1]
Computed, not measured: a geometry-optimized VAs2Os structure at the PBE level of DFT.

Raw total energy in Ha/atom: -0.2676
DFT formation energy in eV per atom: 0.130
Polymorph energy (0 for the lowest one) in meV/atom: 54.0

abc: 2.9143 2.9143 25.6369
angles: 90.00 90.00 120.00
Space group R-3m (No. 166, hexagonal axes)
Inequivalent atoms, fractional coordinates:
V: 0.0000 0.0000 0.0000
As: 0.0000 0.0000 0.4058
Os: 0.0000 0.0000 0.5000

[2]
Computed, not measured: a geometry-optimized RbTl2Pb structure at the PBE level of DFT.

Raw total energy in Ha/atom: -0.0849
DFT formation energy in eV per atom: 0.042
Polymorph energy (0 for the lowest one) in meV/atom: 141.8

abc: 5.690 5.690 4.402
angles: 90.00 90.00 90.00
Space group P4/mmm (No. 123)
Inequivalent atoms, fractional coordinates:
Rb: 0.000 0.000 0.000
Tl: 0.000 0.500 0.500
Pb: 0.500 0.500 0.000

[3]
Computed, not measured: a geometry-optimized Al4CoRu structure at the PBE level of DFT.

Raw total energy in Ha/atom: -0.1884
DFT formation energy in eV per atom: 0.098

abc: 6.979 6.979 6.979
angles: 90.00 90.00 90.00
Space group F-43m (No. 216)
Inequivalent atoms, fractional coordinates:
Al: 0.125 0.125 0.125
Co: 0.250 0.250 0.750
Ru: 0.000 0.000 0.500

[4]
Computed, not measured: a geometry-optimized BaNbCoBi2 structure at the PBE level of DFT.

Raw total energy in Ha/atom: -0.1896
DFT formation energy in eV per atom: 0.214

abc: 5.592 5.592 4.891
angles: 90.00 90.00 90.00
Space group P4/mmm (No. 123)
Inequivalent atoms, fractional coordinates:
Ba: 0.000 0.000 0.000
Nb: 0.500 0.500 0.500
Co: 0.500 0.500 0.000
Bi: 0.000 0.500 0.500

[5]
Computed, not measured: a geometry-optimized PaInGe2O8 structure at the PBE level of DFT.

Raw total energy in Ha/atom: -0.2663
E_form (uncorrected) in eV/atom: -2.153

abc: 6.962 6.962 6.506
angles: 90.00 90.00 90.00
Space group I-4m2 (No. 119)
Inequivalent atoms, fractional coordinates:
Pa: 0.000 0.000 0.000
In: 0.000 0.500 0.750
Ge: 0.000 0.000 0.500
Ge: 0.000 0.500 0.250
O: 0.000 0.185 0.689
O: 0.000 0.312 0.068

[6]
Computed, not measured: a geometry-optimized LiMnCr2 structure at the PBE level of DFT.

Raw total energy in Ha/atom: -0.2674
DFT formation energy in eV per atom: 0.307
Polymorph energy (0 for the lowest one) in meV/atom: 61.3

abc: 5.844 5.844 5.844
angles: 90.00 90.00 90.00
Space group F-43m (No. 216)
Inequivalent atoms, fractional coordinates:
Li: 0.000 0.000 0.000
Mn: 0.250 0.250 0.750
Cr: 0.000 0.000 0.500
Cr: 0.250 0.250 0.250

[7]
Computed, not measured: a geometry-optimized Sr2ZnRe structure at the PBE level of DFT.

Raw total energy in Ha/atom: -0.1350
DFT formation energy in eV per atom: 0.598

abc: 3.833 5.182 10.786
angles: 90.00 90.00 90.00
Space group Imm2 (No. 44)
Inequivalent atoms, fractional coordinates:
Sr: 0.000 0.000 0.000
Sr: 0.000 0.500 0.209
Zn: 0.000 0.500 0.778
Re: 0.000 0.000 0.429

[8]
Computed, not measured: a geometry-optimized TlCuTe2 structure at the PBE level of DFT.

Raw total energy in Ha/atom: -0.1205
E_form (uncorrected) in eV/atom: -0.092

abc: 4.640 4.650 6.013
angles: 109.27 109.27 90.85
Space group P1 (No. 1)
Inequivalent atoms, fractional coordinates:
Tl: 0.000 0.000 0.000
Cu: 0.817 0.179 0.501
Te: 0.413 0.408 0.725
Te: 0.597 0.583 0.276

[9]
Computed, not measured: a geometry-optimized ErTh4Pd4 structure at the PBE level of DFT.

Raw total energy in Ha/atom: -0.2445
DFT formation energy in eV per atom: -0.542

abc: 8.926 8.926 6.027
angles: 90.00 90.00 90.00
Space group P4_2/n (No. 86, origin choice 2)
Inequivalent atoms, fractional coordinates:
Er: 0.250 0.250 0.250
Th: 0.047 0.666 0.152
Pd: 0.031 0.639 0.639

[10]
Computed, not measured: a geometry-optimized CdAg2P structure at the PBE level of DFT.

Raw total energy in Ha/atom: -0.1049
DFT formation energy in eV per atom: 0.153
Polymorph energy (0 for the lowest one) in meV/atom: 0.0

abc: 4.141 4.141 4.238
angles: 90.00 90.00 90.00
Space group P4/mmm (No. 123)
Inequivalent atoms, fractional coordinates:
Cd: 0.000 0.000 0.000
Ag: 0.000 0.500 0.500
P: 0.500 0.500 0.000

[11]
Computed, not measured: a geometry-optimized Tc3PdS structure at the PBE level of DFT.

Raw total energy in Ha/atom: -0.2784
E_form (uncorrected) in eV/atom: 0.508
Polymorph energy (0 for the lowest one) in meV/atom: 0.0

abc: 4.321 4.321 4.321
angles: 90.00 90.00 90.00
Space group Pm-3m (No. 221)
Inequivalent atoms, fractional coordinates:
Tc: 0.000 0.000 0.500
Pd: 0.500 0.500 0.500
S: 0.000 0.000 0.000

[12]
Computed, not measured: a geometry-optimized Mg2TaNb structure at the PBE level of DFT.

Raw total energy in Ha/atom: -0.2086
DFT formation energy in eV per atom: 0.601

abc: 6.692 6.692 6.692
angles: 90.00 90.00 90.00
Space group Fm-3m (No. 225)
Inequivalent atoms, fractional coordinates:
Mg: 0.250 0.250 0.250
Ta: 0.000 0.000 0.000
Nb: 0.000 0.000 0.500